A relaxed HfTaFeO6 crystal, computed with PBE with a Hubbard U. Values from VASP.

Results
VASP energy: -8.9323 eV/atom
SG: No. 102
magnetization: 5.998 μB per cell

```
&SYSTEM
  ibrav = 0, nat = 18, ntyp = 4
/
ATOMIC_SPECIES
Hf 178.49 Hf.upf
Ta 180.95 Ta.upf
Fe 55.84 Fe.upf
O 16.00 O.upf
CELL_PARAMETERS angstrom
4.8037 0.0000 0.0000
0.0000 4.8037 0.0000
0.0000 0.0000 9.2345
ATOMIC_POSITIONS crystal
Hf 0.0000 0.0000 0.0000
Hf 0.5000 0.5000 0.5000
Ta 0.0000 0.0000 0.6662
Ta 0.5000 0.5000 0.1662
Fe 0.0000 0.0000 0.3313
Fe 0.5000 0.5000 0.8313
O 0.1894 0.1894 0.4963
O 0.1927 0.1927 0.8231
O 0.1998 0.1998 0.1678
O 0.3002 0.6998 0.6678
O 0.3073 0.6927 0.3231
O 0.3106 0.6894 0.9963
O 0.6894 0.3106 0.9963
O 0.6927 0.3073 0.3231
O 0.6998 0.3002 0.6678
O 0.8002 0.8002 0.1678
O 0.8073 0.8073 0.8231
O 0.8106 0.8106 0.4963
```